The following is a DFT calculation (PBE with a Hubbard U) of crystalline RbNpMnO6 at its relaxed geometry.

Unit cell a=5.328 b=5.328 c=6.367 alpha=90.00 beta=90.00 gamma=120.00
Sites, in units of the cell vectors:
Rb 0.000 0.000 0.000
Np 0.667 0.333 0.500
Mn 0.333 0.667 0.500
O 0.012 0.386 0.669
O 0.012 0.625 0.331
O 0.375 0.386 0.331
O 0.375 0.988 0.669
O 0.614 0.625 0.669
O 0.614 0.988 0.331

Output
Energy in eV/atom: -7.7213
Space-group type: P312, No. 149
Size of the total moment in μB/f.u.: 2.97